Record 1
15
Lattice="4.581 2.645 6.538 -4.581 2.645 6.538 0.000 -5.290 6.538" Properties=species:S:1:pos:R:3 comment="PBE Sm8ScSn6, optimized geometry" total_energy_ev_per_cell=-76.201 delta_e_f_ev_per_fu=-8.1 n_ef_per_ev_fu=9.64 pbc="T T T"
Sm -3.085 -0.007 7.761
Sm 0.000 0.000 3.253
Sm -1.536 -2.675 11.852
Sm 1.548 -2.668 7.761
Sm -1.548 2.668 11.852
Sm 1.536 2.675 7.761
Sm 0.000 0.000 16.360
Sm 3.085 0.007 11.852
Sc 0.000 0.000 9.807
Sn -1.487 -2.578 8.505
Sn -2.976 -0.001 11.109
Sn -1.489 2.577 8.505
Sn 1.489 -2.577 11.109
Sn 2.976 0.001 8.505
Sn 1.487 2.578 11.109


Record 2
4
Lattice="0.000 3.092 3.092 3.092 0.000 3.092 3.092 3.092 0.000" Properties=species:S:1:pos:R:3 comment="PBE MnPdW2, optimized geometry" total_energy_ev_per_cell=-38.425 delta_e_f_ev_per_fu=1.8 e_above_lowest_polymorph_mev_per_atom=0 n_ef_per_ev_fu=7.16 pbc="T T T"
Mn 0.000 0.000 0.000
Pd 3.092 3.092 3.092
W 1.546 1.546 1.546
W 4.637 4.637 4.637


Record 3
4
Lattice="0.000 2.638 3.646 2.634 0.000 3.646 2.634 2.638 0.000" Properties=species:S:1:pos:R:3 comment="PBE GaNi2Ir, optimized geometry" total_energy_ev_per_cell=-24.145 delta_e_f_ev_per_fu=-0.7 n_ef_per_ev_fu=5.82 pbc="T T T"
Ga 0.000 0.000 0.000
Ni 1.317 1.319 1.823
Ni 3.951 3.957 5.469
Ir 2.634 2.638 3.646